Record 1
Below is a geometry-optimized Mo2P2W structure, with properties calculated at the PBE level.

Results
The energy above the most stable polymorph in this dataset is 0.000 eV per formula unit. The value obtained for the uncorrected energy is -92.5 eV/cell. Its energy of formation from the pure elements is -167 meV/atom.

Cell lengths 6.7161, 6.7161, 3.1655 Å; angles 90.00, 90.00, 90.00 degrees
Closest atoms and distances in Å follow each position.
Space group P4/mbm (No. 127)
Asymmetric unit:
1 Mo 0.1444 0.3556 0.0000 (multiplicity 4)  6 P 2.48-2.55, 1 Mo 2.74
2 P 0.1539 0.6539 0.5000 (multiplicity 4)  6 Mo 2.48-2.55, 2 W 2.54
3 W 0.0000 0.0000 0.5000 (multiplicity 2)  4 P 2.54

---

Record 2
Below is a geometry-optimized MoP2W structure, with properties calculated at the PBE level.

Results
The energy above the most stable polymorph in this dataset is 0.498 eV per formula unit. The value obtained for the uncorrected energy is -106.9 eV/cell. Its energy of formation from the pure elements is -257 meV/atom.

Cell lengths 3.2194, 3.2194, 19.8248 Å; angles 90.00, 90.00, 120.00 degrees
Closest atoms and distances in Å follow each position.
Space group R3m (No. 160, hexagonal axes)
Asymmetric unit:
1 Mo 0.0000 0.0000 0.0000 (multiplicity 3)  6 P 2.45-2.56
2 P 0.0000 0.0000 0.4138 (multiplicity 3)  3 W 2.43, 3 Mo 2.45
3 P 0.0000 0.0000 0.5780 (multiplicity 3)  3 W 2.51, 3 Mo 2.56
4 W 0.0000 0.0000 0.1598 (multiplicity 3)  6 P 2.43-2.51

---

> Number 1 is which compound?

Mo2P2W